Computed, not measured: NpZnCoH6 after structural relaxation at the PBE-GGA level of DFT.

Electronic total energy: -4.6712 eV/atom
Theoretical density: 8.6 Mg/m³
Magnetic moment: 4.73 μB per cell

Cell lengths 4.364, 4.364, 4.297 Å; angles 90.00, 90.00, 60.00 degrees
Site moments in Bohr magnetons follow the coordinates.
Fractional coordinates of all 9 atoms:
1 Np 0.000 0.000 0.000  3.98
2 Zn 0.667 0.667 0.500  0.01
3 Co 0.333 0.333 0.500  0.42
4 H 0.034 0.483 0.226  0.00
5 H 0.483 0.034 0.774  0.00
6 H 0.483 0.483 0.774  0.00
7 H 0.034 0.483 0.774  0.00
8 H 0.483 0.483 0.226  0.00
9 H 0.483 0.034 0.226  0.00